(1)
Entry from Alexandria: a relaxed CaTmNiAg crystal (PBE).

Results
Total DFT energy (no corrections)   -15.95 eV for the cell shown

a b c (Å): 4.9597 4.9597 4.9597
angles (deg): 60.00 60.00 60.00
Atoms (fractional coordinates):
Ca: 0.0000 0.0000 0.0000
Ag: 0.7500 0.7500 0.7500
Ni: 0.2500 0.2500 0.2500
Tm: 0.5000 0.5000 0.5000

(2)
Entry from Alexandria: a relaxed SrMg2GeRu crystal (PBE).

Results
Total DFT energy (no corrections)   -19.88 eV for the cell shown

a b c (Å): 5.0372 5.0372 4.7829
angles (deg): 90.00 90.00 90.00
Atoms (fractional coordinates):
Sr: 0.5000 0.5000 0.5000
Mg: 0.5000 0.0000 0.0000
Mg: 0.0000 0.5000 0.0000
Ru: 0.0000 0.0000 0.0000
Ge: 0.0000 0.0000 0.5000

(3)
Entry from Alexandria: a relaxed TlGaAgSe crystal (PBE).

Results
E above lowest polymorph   0.014 eV per atom
Raw formation energy   -48 kJ/mol of formula units

a b c (Å): 4.3798 3.8740 12.2338
angles (deg): 90.00 90.00 90.00
Atoms (fractional coordinates):
Se: 0.5000 0.5000 0.8805
Se: 0.0000 0.0000 0.3805
Tl: 0.0000 0.0000 0.7509
Tl: 0.5000 0.5000 0.2509
Ga: 0.5000 0.0000 0.0143
Ga: 0.0000 0.5000 0.5143
Ag: 0.5000 0.5000 0.6326
Ag: 0.0000 0.0000 0.1326

no.,density of states at the Fermi level (states/eV/atom)
1,0.430
2,0.405
3,0.290